Below is a relaxed AsPd6S crystal, with properties calculated at the PBE level.

Unit cell a=5.9107 b=5.9107 c=13.0019 alpha=90.00 beta=90.00 gamma=120.00
Space group R-3 (No. 148, hexagonal axes)
Asymmetric unit:
As 0.0000 0.0000 0.0000
Pd 0.0096 0.2883 0.2483
S 0.0000 0.0000 0.5000

Computed properties:
- crystal system = trigonal
- DOS(E_F) (states/eV/cell) = 8.3
- E_form (uncorrected) (eV per atom) = -0.17
- size of the total moment (μB/atom) = 0.00

=====

Below is a relaxed Ti3OsPb crystal, with properties calculated at the PBE level.

Unit cell a=4.783 b=4.783 c=4.783 alpha=90.00 beta=90.00 gamma=90.00
Space group Pm-3m (No. 221)
Asymmetric unit:
Ti 0.000 0.000 0.500
Os 0.000 0.000 0.000
Pb 0.500 0.500 0.500

Computed properties:
- crystal system = cubic
- DOS(E_F) (states/eV/cell) = 7.1
- formation energy (meV/atom) = 296
- size of the total moment (μB/atom) = 0.15

=====

Below is a relaxed Nd2HoTm7 crystal, with properties calculated at the PBE level.

Unit cell a=6.423 b=28.589 c=3.491 alpha=90.00 beta=90.00 gamma=90.00
Space group Cmmm (No. 65)
Asymmetric unit:
Nd 0.000 0.209 0.000
Ho 0.000 0.500 0.500
Tm 0.000 0.000 0.000
Tm 0.000 0.317 0.500
Tm 0.246 0.403 0.000

Computed properties:
- crystal system = orthorhombic
- DOS(E_F) (states/eV/cell) = 28.6
- formation energy (meV/atom) = 158
- size of the total moment (μB/atom) = 0.00

=====

Below is a relaxed Ba2SbTeO6 crystal, with properties calculated at the PBE level.

Unit cell a=6.089 b=6.105 c=8.629 alpha=90.00 beta=90.00 gamma=90.00
Space group Immm (No. 71)
Asymmetric unit:
Ba 0.000 0.000 0.250
Sb 0.000 0.500 0.000
Te 0.000 0.500 0.500
O 0.000 0.500 0.249
O 0.249 0.251 0.000

Computed properties:
- crystal system = orthorhombic
- DOS(E_F) (states/eV/cell) = 4.6
- E_form (uncorrected) (eV per atom) = -1.87
- size of the total moment (μB/atom) = 0.00